Entry 1:
Below is a relaxed structure of Al2ZnMo, with properties calculated at the PBE level.

Calculated values
Crystal system: tetragonal

Unit cell a=5.0345 b=5.0345 c=5.0340 alpha=136.71 beta=136.71 gamma=62.89
Fractional positions:
Mo: 0.5000 0.5000 0.0000
Zn: 0.2500 0.7500 0.5000
Al: 0.0000 0.0000 0.0000
Al: 0.7500 0.2500 0.5000

=====

Entry 2:
Below is a relaxed structure of AlZn2Mo, with properties calculated at the PBE level.

Calculated values
Crystal system: tetragonal

Unit cell a=3.2679 b=3.2679 c=5.7131 alpha=90.00 beta=90.00 gamma=90.00
Fractional positions:
Mo: 0.5000 0.5000 0.7414
Zn: 0.0000 0.0000 0.0007
Zn: 0.5000 0.5000 0.2432
Al: 0.0000 0.0000 0.5147

=====

Entry 3:
Below is a relaxed structure of Zr2AlMo, with properties calculated at the PBE level.

Calculated values
Crystal system: tetragonal

Unit cell a=2.9106 b=2.9106 c=9.0486 alpha=90.00 beta=90.00 gamma=90.00
Fractional positions:
Mo: 0.5000 0.5000 0.7500
Al: 0.5000 0.5000 0.2500
Zr: 0.0000 0.0000 0.0099
Zr: 0.0000 0.0000 0.4901

=====

Entry 4:
Below is a relaxed structure of ZrAlMo2, with properties calculated at the PBE level.

Calculated values
Crystal system: trigonal

Unit cell a=9.8307 b=9.8307 c=9.8313 alpha=16.85 beta=16.85 gamma=16.85
Fractional positions:
Mo: 0.0067 0.0067 0.0067
Mo: 0.4933 0.4933 0.4933
Al: 0.7500 0.7500 0.7500
Zr: 0.2500 0.2500 0.2500

=====

Number 1: formation enthalpy at 0 K -101 kJ/mol of formula units. Number 2: formation enthalpy at 0 K 45 kJ/mol of formula units. Number 3: formation enthalpy at 0 K -5 kJ/mol of formula units. Number 4: formation enthalpy at 0 K 83 kJ/mol of formula units.